# 1
VASP calculation (PBE-GGA) on crystalline Ca4Bi3 at its relaxed geometry.

Summary:
raw total energy = -3.650 eV/atom
calculated formation energy = -843 meV/atom

CIF file:
```
data_Ca4Bi3
_cell_length_a 9.703
_cell_length_b 9.703
_cell_length_c 9.703
_cell_angle_alpha 90.00
_cell_angle_beta 90.00
_cell_angle_gamma 90.00
_space_group_name_H-M_alt 'I -4 3 d'
_space_group_IT_number 220
_space_group_name_Hall 'I -4bd 2c 3'
loop_
_atom_site_label
_atom_site_type_symbol
_atom_site_fract_x
_atom_site_fract_y
_atom_site_fract_z
Ca1 Ca 0.074 0.426 0.574
Bi1 Bi 0.000 0.250 0.875
```

# 2
VASP calculation (PBE-GGA) on crystalline Ba4TlPb3 at its relaxed geometry.

Summary:
raw total energy = -3.188 eV/atom
calculated formation energy = -540 meV/atom

CIF file:
```
data_Ba4TlPb3
_cell_length_a 4.952
_cell_length_b 5.314
_cell_length_c 12.982
_cell_angle_alpha 90.00
_cell_angle_beta 90.00
_cell_angle_gamma 90.00
_space_group_name_H-M_alt 'P m m 2'
_space_group_IT_number 25
loop_
_space_group_symop_operation_xyz
'x,y,z'
'-x,-y,z'
'-x,y,z'
'x,-y,z'
loop_
_atom_site_label
_atom_site_type_symbol
_atom_site_fract_x
_atom_site_fract_y
_atom_site_fract_z
Ba1 Ba 0.000 0.000 0.000
Ba2 Ba 0.000 0.500 0.498
Ba3 Ba 0.500 0.000 0.269
Ba4 Ba 0.500 0.500 0.767
Tl1 Tl 0.500 0.500 0.054
Pb1 Pb 0.000 0.000 0.710
Pb2 Pb 0.000 0.500 0.210
Pb3 Pb 0.500 0.000 0.558
```

# 3
VASP calculation (PBE-GGA) on crystalline AlTc2HgRu at its relaxed geometry.

Summary:
raw total energy = -4.473 eV/atom
calculated formation energy = 2338 meV/atom

CIF file:
```
data_AlTc2HgRu
_cell_length_a 4.966
_cell_length_b 4.966
_cell_length_c 4.928
_cell_angle_alpha 90.00
_cell_angle_beta 90.00
_cell_angle_gamma 90.00
_space_group_name_H-M_alt 'P 4/m m m'
_space_group_IT_number 123
_space_group_name_Hall '-P 4 2'
loop_
_atom_site_label
_atom_site_type_symbol
_atom_site_fract_x
_atom_site_fract_y
_atom_site_fract_z
Al1 Al 0.000 0.000 0.000
Tc1 Tc 0.000 0.500 0.500
Hg1 Hg 0.500 0.500 0.500
Ru1 Ru 0.500 0.500 0.000
```

# 4
VASP calculation (PBE-GGA) on crystalline Ac3SnGe4 at its relaxed geometry.

Summary:
raw total energy = -4.887 eV/atom
calculated formation energy = -537 meV/atom

CIF file:
```
data_Ac3SnGe4
_cell_length_a 4.659
_cell_length_b 6.574
_cell_length_c 16.081
_cell_angle_alpha 90.00
_cell_angle_beta 90.00
_cell_angle_gamma 90.00
_space_group_name_H-M_alt 'I m m m'
_space_group_IT_number 71
_space_group_name_Hall '-I 2 2'
loop_
_atom_site_label
_atom_site_type_symbol
_atom_site_fract_x
_atom_site_fract_y
_atom_site_fract_z
Ac1 Ac 0.000 0.000 0.000
Ac2 Ac 0.000 0.500 0.184
Sn1 Sn 0.000 0.000 0.500
Ge1 Ge 0.000 0.308 0.373
```